# ZnInPbBr5, optimized geometry, DFT PBE
# E_form (uncorrected) = -79.5 kJ per mole of atoms
# Magnetization = 0.000 μB/atom
# DFT total energy = -2.834 eV per atom
# V = 37.52 A^3/atom
# Calculated density = 4354 kg/m³
data_ZnInPbBr5
_cell_length_a 9.698
_cell_length_b 12.750
_cell_length_c 10.693
_cell_angle_alpha 90.00
_cell_angle_beta 114.76
_cell_angle_gamma 90.00
_symmetry_space_group_name_H-M 'C 1 2/c 1'
_symmetry_Int_Tables_number 15
loop_
_symmetry_equiv_pos_as_xyz
'x,y,z'
'-x,-y,-z'
'-x,y,-z+1/2'
'x,-y,z+1/2'
'x+1/2,y+1/2,z'
'-x+1/2,-y+1/2,-z'
'-x+1/2,y+1/2,-z+1/2'
'x+1/2,-y+1/2,z+1/2'
loop_
_atom_site_label
_atom_site_fract_x
_atom_site_fract_y
_atom_site_fract_z
Zn1 0.000 0.183 0.250
In1 0.000 0.150 0.750
Pb1 0.000 0.500 0.000
Br1 0.000 0.398 0.750
Br2 0.130 0.288 0.141
Br3 0.170 0.069 0.436

***

# Ac4La3In4, optimized geometry, DFT PBE
# Energy relative to the elements = -3.36 eV per formula unit
# Magnetization = 0.000 μB/atom
# DFT total energy = -4.139 eV per atom
# V = 36.49 A^3/atom
# Calculated density = 7381 kg/m³
data_Ac4La3In4
_cell_length_a 3.904
_cell_length_b 10.084
_cell_length_c 20.391
_cell_angle_alpha 90.00
_cell_angle_beta 90.00
_cell_angle_gamma 90.00
_symmetry_space_group_name_H-M 'I m m m'
_symmetry_Int_Tables_number 71
_symmetry_space_group_name_Hall '-I 2 2'
loop_
_atom_site_label
_atom_site_fract_x
_atom_site_fract_y
_atom_site_fract_z
Ac1 0.000 0.181 0.165
La1 0.000 0.000 0.408
La2 0.000 0.500 0.500
In1 0.000 0.279 0.000
In2 0.000 0.500 0.224